A relaxed structure of K2LiCdF6. Source: the Open Quantum Materials Database, functional GGA-PBE.

Cell: 5.733 5.733 5.733 Å, 60.07 60.07 60.07°
Atoms (fractional coordinates):
K 0.250 0.250 0.250
K 0.750 0.750 0.750
Li 0.000 0.000 0.000
Cd 0.500 0.500 0.500
F 0.239 0.239 0.760
F 0.239 0.760 0.239
F 0.240 0.761 0.761
F 0.760 0.239 0.239
F 0.761 0.240 0.761
F 0.761 0.761 0.240

Output
V, Å³/cell: 133.43
Energy above the most stable polymorph in this dataset, kcal/mol of atoms: 0.007

=====

A relaxed structure of K2LiCdF6. Source: the Open Quantum Materials Database, functional GGA-PBE.

Cell: 5.715 5.715 5.715 Å, 59.81 59.81 59.81°
Atoms (fractional coordinates):
K 0.250 0.250 0.250
K 0.750 0.750 0.750
Li 0.000 0.000 0.000
Cd 0.500 0.500 0.500
F 0.238 0.240 0.761
F 0.239 0.762 0.760
F 0.240 0.761 0.238
F 0.760 0.239 0.762
F 0.761 0.238 0.240
F 0.762 0.760 0.239

Output
V, Å³/cell: 131.40
Energy above the most stable polymorph in this dataset, kcal/mol of atoms: 0.226

=====

A relaxed structure of K2LiCdF6. Source: the Open Quantum Materials Database, functional GGA-PBE.

Cell: 5.734 5.734 5.734 Å, 60.00 60.00 60.00°
Atoms (fractional coordinates):
K 0.250 0.250 0.250
K 0.750 0.750 0.750
Li 0.000 0.000 0.000
Cd 0.500 0.500 0.500
F 0.239 0.239 0.761
F 0.239 0.761 0.239
F 0.239 0.761 0.761
F 0.761 0.239 0.239
F 0.761 0.239 0.761
F 0.761 0.761 0.239

Output
V, Å³/cell: 133.31
Energy above the most stable polymorph in this dataset, kcal/mol of atoms: 0.019